(1)
A plane-wave DFT calculation with GGA-PBE was carried out for CsNb2PSe10 after structural relaxation.

Raw formation energy (eV/atom): -0.61

```
data_CsNb2PSe10
_symmetry_space_group_name_H-M 'P 1 c 1'
_symmetry_Int_Tables_number 7
_cell_length_a 15.353
_cell_length_b 8.337
_cell_length_c 13.717
_cell_angle_alpha 90.00
_cell_angle_beta 92.94
_cell_angle_gamma 90.00
loop_
_symmetry_equiv_pos_as_xyz
'x,y,z'
'x,-y,z+1/2'
loop_
_atom_site_label
_atom_site_fract_x
_atom_site_fract_y
_atom_site_fract_z
Cs1 0.000 0.002 0.000
Cs2 0.499 0.013 0.254
Nb1 0.270 0.438 0.601
Nb2 0.271 0.446 0.894
Nb3 0.771 0.443 0.360
Nb4 0.773 0.441 0.653
P1 0.206 0.104 0.748
P2 0.707 0.104 0.503
Se1 0.117 0.097 0.250
Se2 0.146 0.368 0.457
Se3 0.149 0.372 0.022
Se4 0.151 0.356 0.742
Se5 0.282 0.111 0.614
Se6 0.290 0.120 0.886
Se7 0.290 0.338 0.246
Se8 0.390 0.356 0.479
Se9 0.391 0.445 0.754
Se10 0.395 0.377 0.028
Se11 0.617 0.097 0.004
Se12 0.648 0.376 0.217
Se13 0.650 0.364 0.782
Se14 0.652 0.357 0.501
Se15 0.782 0.114 0.368
Se16 0.792 0.337 0.008
Se17 0.793 0.116 0.640
Se18 0.892 0.446 0.514
Se19 0.893 0.366 0.789
Se20 0.894 0.368 0.240
```

***

(2)
A plane-wave DFT calculation with GGA-PBE was carried out for CsNbPb2 after structural relaxation.

Energy relative to the lowest polymorph listed for this composition (meV per atom): 0.0
E_form (kJ/mol of formula units): 200

```
data_CsNbPb2
_symmetry_space_group_name_H-M 'I -4 2 d'
_symmetry_Int_Tables_number 122
_symmetry_space_group_name_Hall 'I -4 2bw'
_cell_length_a 7.091
_cell_length_b 7.091
_cell_length_c 16.553
_cell_angle_alpha 90.00
_cell_angle_beta 90.00
_cell_angle_gamma 90.00
loop_
_atom_site_label
_atom_site_fract_x
_atom_site_fract_y
_atom_site_fract_z
Cs1 0.000 0.000 0.000
Nb1 0.000 0.000 0.500
Pb1 0.009 0.250 0.625
```

***

(3)
A plane-wave DFT calculation with GGA-PBE was carried out for CsNbPb2 after structural relaxation.

Energy relative to the lowest polymorph listed for this composition (meV per atom): 321.0
E_form (kJ/mol of formula units): 323

```
data_CsNbPb2
_symmetry_space_group_name_H-M 'F m -3 m'
_symmetry_Int_Tables_number 225
_symmetry_space_group_name_Hall '-F 4 2 3'
_cell_length_a 7.962
_cell_length_b 7.962
_cell_length_c 7.962
_cell_angle_alpha 90.00
_cell_angle_beta 90.00
_cell_angle_gamma 90.00
loop_
_atom_site_label
_atom_site_fract_x
_atom_site_fract_y
_atom_site_fract_z
Cs1 0.000 0.000 0.000
Nb1 0.000 0.000 0.500
Pb1 0.250 0.250 0.250
```

***

(4)
A plane-wave DFT calculation with GGA-PBE was carried out for CsNbPbS4 after structural relaxation.

Raw formation energy (eV/atom): -0.95

```
data_CsNbPbS4
_symmetry_space_group_name_H-M 'P 1 21/m 1'
_symmetry_Int_Tables_number 11
_cell_length_a 7.099
_cell_length_b 7.235
_cell_length_c 9.449
_cell_angle_alpha 90.00
_cell_angle_beta 107.02
_cell_angle_gamma 90.00
loop_
_symmetry_equiv_pos_as_xyz
'x,y,z'
'-x,-y,-z'
'-x,y+1/2,-z'
'x,-y+1/2,z'
loop_
_atom_site_label
_atom_site_fract_x
_atom_site_fract_y
_atom_site_fract_z
Cs1 0.234 0.250 0.438
Nb1 0.275 0.750 0.167
Pb1 0.266 0.250 0.951
S1 0.070 0.750 0.931
S2 0.085 0.750 0.326
S3 0.484 0.000 0.202
```